## Zr4Cd3 (GGA-PBEsol)

Data for a geometry-optimized Zr4Cd3 structure.

Lattice parameters (Å, degrees): 3.051 3.051 15.970 95.48 95.48 90.00
Fractional positions:
Cd: 0.283 0.283 0.567
Cd: 0.000 0.000 0.000
Cd: 0.717 0.717 0.433
Zr: 0.855 0.855 0.711
Zr: 0.145 0.145 0.289
Zr: 0.573 0.573 0.146
Zr: 0.427 0.427 0.854

Computed properties:
Theoretical density: 7.9 g/cm3
Symmetry: I4/mmm, No. 139
Energy relative to the lowest polymorph listed for this composition: 0 meV/atom